A plane-wave DFT calculation with PBE-GGA was carried out for an optimized crystal structure of Cs2SnSe.

Values from the calculation:
**Symmetry**: No. 6
**E_form (uncorrected)**: -336 meV/atom
**Total magnetization**: 0.00 μB per cell
**E above lowest polymorph**: 29 meV per atom

a b c (Å): 3.5075 11.0916 4.4862
angles (deg): 90.00 90.56 90.00
Last column: nearest neighbours and their distance in Å.
Positions (direct):
Cs1 0.0000 0.1929 0.0000  2 Cs 3.51, 4 Se 3.55-3.57
Cs2 0.0000 0.8071 0.0000  2 Cs 3.51, 4 Se 3.55-3.57
Sn1 0.5044 0.5000 0.4977  2 Sn 3.51
Se1 0.4994 0.0000 0.5001  2 Se 3.51, 8 Cs 3.55-3.57

=====

A plane-wave DFT calculation with PBE-GGA was carried out for an optimized crystal structure of Mn3Ag5.

Values from the calculation:
**Symmetry**: No. 193
**Total magnetization**: 25.13 μB per cell
**E above lowest polymorph**: 43 meV per atom
**Formation energy**: 3.18 eV/f.u.

a b c (Å): 7.8730 7.8730 5.2973
angles (deg): 90.00 90.00 120.00
Last column: nearest neighbours and their distance in Å.
Positions (direct):
Mn1 0.0000 0.4045 0.2500  9 Ag 2.74-2.98, 2 Mn 3.05
Mn2 0.0000 0.5955 0.7500  9 Ag 2.74-2.98, 2 Mn 3.05
Mn3 0.4045 0.0000 0.2500  9 Ag 2.74-2.98, 2 Mn 3.05
Mn4 0.4045 0.4045 0.7500  9 Ag 2.74-2.98, 2 Mn 3.05
Mn5 0.5955 0.0000 0.7500  9 Ag 2.74-2.98, 2 Mn 3.05
Mn6 0.5955 0.5955 0.2500  9 Ag 2.74-2.98, 2 Mn 3.05
Ag1 0.0000 0.2311 0.7500  5 Mn 2.77-2.98
Ag2 0.0000 0.7689 0.2500  5 Mn 2.77-2.98
Ag3 0.2311 0.0000 0.7500  5 Mn 2.77-2.98
Ag4 0.2311 0.2311 0.2500  5 Mn 2.77-2.98
Ag5 0.3333 0.6667 0.0000  2 Ag 2.65, 6 Mn 2.74
Ag6 0.3333 0.6667 0.5000  2 Ag 2.65, 6 Mn 2.74
Ag7 0.6667 0.3333 0.0000  2 Ag 2.65, 6 Mn 2.74
Ag8 0.6667 0.3333 0.5000  2 Ag 2.65, 6 Mn 2.74
Ag9 0.7689 0.0000 0.2500  5 Mn 2.77-2.98
Ag10 0.7689 0.7689 0.7500  5 Mn 2.77-2.98

=====

A plane-wave DFT calculation with PBE-GGA was carried out for an optimized crystal structure of SrMgIr2.

Values from the calculation:
**Symmetry**: No. 141
**Total magnetization**: 0.00 μB per cell
**Formation energy**: 0.44 eV/f.u.

a b c (Å): 9.6302 9.6302 9.6302
angles (deg): 150.81 150.81 41.76
Last column: nearest neighbours and their distance in Å.
Positions (direct):
Sr1 0.3750 0.6250 0.7500  4 Mg 3.43, 8 Ir 3.52
Sr2 0.6250 0.3750 0.2500  4 Mg 3.43, 8 Ir 3.52
Mg1 0.1250 0.8750 0.2500  4 Ir 2.56
Mg2 0.8750 0.1250 0.7500  4 Ir 2.56
Ir1 0.0000 0.0000 0.0000  2 Ir 2.43, 2 Mg 2.56
Ir2 0.0000 0.0000 0.5000  2 Ir 2.43, 2 Mg 2.56
Ir3 0.0000 0.5000 0.0000  2 Ir 2.43, 2 Mg 2.56
Ir4 0.5000 0.0000 0.5000  2 Ir 2.43, 2 Mg 2.56

=====

A plane-wave DFT calculation with PBE-GGA was carried out for an optimized crystal structure of CeThZn2Ge2.

Values from the calculation:
**Symmetry**: No. 164
**Total magnetization**: 0.59 μB per cell
**Formation energy**: -3.57 eV/f.u.

a b c (Å): 4.2287 4.2287 8.4002
angles (deg): 90.00 90.00 120.00
Last column: nearest neighbours and their distance in Å.
Positions (direct):
Ce1 0.0000 0.0000 0.0000  6 Zn 3.20, 6 Ge 3.21
Th1 0.0000 0.0000 0.5000  6 Ge 3.23, 6 Zn 3.24
Zn1 0.3333 0.6667 0.2463  3 Ge 2.44
Zn2 0.6667 0.3333 0.7537  3 Ge 2.44
Ge1 0.3333 0.6667 0.7523  3 Zn 2.44
Ge2 0.6667 0.3333 0.2477  3 Zn 2.44

=====

A plane-wave DFT calculation with PBE-GGA was carried out for an optimized crystal structure of K2SnGe.

Values from the calculation:
**Symmetry**: No. 122
**Total magnetization**: 0.00 μB per cell
**E above lowest polymorph**: 193 meV per atom
**Formation energy**: 0.18 eV/f.u.

a b c (Å): 9.4665 9.4665 9.4665
angles (deg): 94.62 94.62 147.02
Last column: nearest neighbours and their distance in Å.
Positions (direct):
K1 0.3750 0.1713 0.2963  2 Ge 3.33
K2 0.8287 0.1250 0.2037  2 Ge 3.33
K3 0.8750 0.0787 0.7037  2 Ge 3.33
K4 0.9213 0.6250 0.7963  2 Ge 3.33
Sn1 0.2500 0.7500 0.5000  2 Ge 2.69
Sn2 0.5000 0.5000 0.0000  2 Ge 2.69
Ge1 0.0000 0.0000 0.0000  2 Sn 2.69
Ge2 0.7500 0.2500 0.5000  2 Sn 2.69

=====

A plane-wave DFT calculation with PBE-GGA was carried out for an optimized crystal structure of Na3Pa3S8.

Values from the calculation:
**Symmetry**: No. 166
**E_form (uncorrected)**: -1497 meV/atom
**Total magnetization**: 2.03 μB per cell

a b c (Å): 8.2348 8.2348 8.2348
angles (deg): 59.86 59.86 59.86
Last column: nearest neighbours and their distance in Å.
Positions (direct):
Na1 0.0000 0.0000 0.0000  6 S 2.90
Na2 0.3813 0.3813 0.3813  4 S 2.77-2.90
Na3 0.6187 0.6187 0.6187  4 S 2.77-2.90
Pa1 0.0000 0.0000 0.5000  6 S 2.68-2.77
Pa2 0.0000 0.5000 0.0000  6 S 2.68-2.77
Pa3 0.5000 0.0000 0.0000  6 S 2.68-2.77
S1 0.2066 0.7522 0.7522  2 Pa 2.68, 2 Na 2.77-2.90
S2 0.2376 0.2376 0.2376  3 Pa 2.77, 1 Na 2.90
S3 0.2478 0.2478 0.7934  2 Pa 2.68, 2 Na 2.77-2.90
S4 0.2478 0.7934 0.2478  2 Pa 2.68, 2 Na 2.77-2.90
S5 0.7522 0.2066 0.7522  2 Pa 2.68, 2 Na 2.77-2.90
S6 0.7522 0.7522 0.2066  2 Pa 2.68, 2 Na 2.77-2.90
S7 0.7624 0.7624 0.7624  3 Pa 2.77, 1 Na 2.90
S8 0.7934 0.2478 0.2478  2 Pa 2.68, 2 Na 2.77-2.90

=====

Q: Which formula does entry 5 have?
A: K2SnGe